Entry 1:
The following is a PBE-GGA calculation of Sm2Pd5 after structural relaxation, from Alexandria.

a = 7.3200 Å, b = 7.3200 Å, c = 5.9198 Å
α = 90.00°, β = 90.00°, γ = 121.05°
With the nearest neighbours (Å) after each atom.
Atoms (fractional coordinates):
Sm  0.0945  0.2998  0.0000  10 Pd 2.94-3.11
Sm  0.2998  0.0945  0.5000  10 Pd 2.94-3.11
Sm  0.7002  0.9055  0.5000  10 Pd 2.94-3.11
Sm  0.9055  0.7002  0.0000  10 Pd 2.94-3.11
Pd  0.1012  0.3580  0.5000  6 Pd 2.78-2.94, 4 Sm 2.95-3.09
Pd  0.2682  0.7318  0.2500  7 Pd 2.78-2.96, 4 Sm 2.94-3.11
Pd  0.2682  0.7318  0.7500  7 Pd 2.78-2.96, 4 Sm 2.94-3.11
Pd  0.3580  0.1012  0.0000  6 Pd 2.78-2.94, 4 Sm 2.95-3.09
Pd  0.5000  0.5000  0.2500  8 Pd 2.94-2.96, 4 Sm 2.94
Pd  0.5000  0.5000  0.7500  8 Pd 2.94-2.96, 4 Sm 2.94
Pd  0.6420  0.8988  0.0000  6 Pd 2.78-2.94, 4 Sm 2.95-3.09
Pd  0.7318  0.2682  0.2500  7 Pd 2.78-2.96, 4 Sm 2.94-3.11
Pd  0.7318  0.2682  0.7500  7 Pd 2.78-2.96, 4 Sm 2.94-3.11
Pd  0.8988  0.6420  0.5000  6 Pd 2.78-2.94, 4 Sm 2.95-3.09

Calculated values
**Calculated formation energy**: -764 meV/atom
**Total magnetic moment**: 0.000 μB/f.u.
**Crystal system**: orthorhombic
**Theoretical density**: 10.2 g cm⁻³
**Space-group type**: No. 66

---

Entry 2:
The following is a PBE-GGA calculation of ZrAg2Se after structural relaxation, from Alexandria.

a = 3.5054 Å, b = 3.6090 Å, c = 6.6780 Å
α = 90.00°, β = 105.14°, γ = 90.00°
With the nearest neighbours (Å) after each atom.
Atoms (fractional coordinates):
Zr  0.0000  0.0000  0.0000  4 Se 2.75, 1 Ag 3.08
Ag  0.2369  0.0000  0.4777  4 Ag 2.80, 2 Se 2.89, 1 Zr 3.08
Ag  0.6412  0.5000  0.2854  4 Ag 2.80, 1 Se 2.95, 4 Zr 3.12
Se  0.4143  0.5000  0.8273  4 Zr 2.75, 3 Ag 2.89-2.95

Calculated values
**Total magnetic moment**: 0.000 μB/f.u.
**Formation energy from raw total energies**: -0.38 eV per atom
**Crystal system**: monoclinic
**Theoretical density**: 7.9 g cm⁻³
**Space-group type**: No. 6

---

Entry 3:
The following is a PBE-GGA calculation of Er3SiTe2 after structural relaxation, from Alexandria.

a = 7.3439 Å, b = 7.3439 Å, c = 7.4360 Å
α = 99.44°, β = 99.44°, γ = 119.99°
With the nearest neighbours (Å) after each atom.
Atoms (fractional coordinates):
Er  0.0688  0.4246  0.7751  2 Si 2.84, 2 Te 3.06
Er  0.2166  0.2166  0.2187  2 Si 2.84, 4 Te 3.01-3.15
Er  0.4246  0.0688  0.7751  2 Si 2.84, 2 Te 3.06
Er  0.5754  0.9312  0.2249  2 Si 2.84, 2 Te 3.06
Er  0.7834  0.7834  0.7813  2 Si 2.84, 4 Te 3.01-3.15
Er  0.9312  0.5754  0.2249  2 Si 2.84, 2 Te 3.06
Si  0.1681  0.8319  0.0000  6 Er 2.84
Si  0.8319  0.1681  0.0000  6 Er 2.84
Te  0.0000  0.0000  0.5000  6 Er 3.01-3.19
Te  0.3409  0.6591  0.5000  6 Er 3.06-3.19
Te  0.5000  0.5000  0.0000  6 Er 3.03-3.06
Te  0.6591  0.3409  0.5000  6 Er 3.06-3.19

Calculated values
**E above lowest polymorph**: 0 meV per atom
**Total magnetic moment**: 0.000 μB/f.u.
**Formation energy from raw total energies**: -1.19 eV per atom
**Crystal system**: monoclinic
**Theoretical density**: 7.9 g cm⁻³
**Space-group type**: No. 12

---

Entry 4:
The following is a PBE-GGA calculation of ZrCdAg2 after structural relaxation, from Alexandria.

a = 5.0524 Å, b = 5.0524 Å, c = 3.1497 Å
α = 90.00°, β = 90.00°, γ = 93.16°
With the nearest neighbours (Å) after each atom.
Atoms (fractional coordinates):
Zr  0.0000  0.0000  0.0000  8 Ag 2.98, 2 Zr 3.15
Cd  0.5000  0.5000  0.0000  8 Ag 2.98, 2 Cd 3.15
Ag  0.0000  0.5000  0.5000  4 Zr 2.98, 4 Cd 2.98, 2 Ag 3.15
Ag  0.5000  0.0000  0.5000  4 Zr 2.98, 4 Cd 2.98, 2 Ag 3.15

Calculated values
**Calculated formation energy**: 52 meV/atom
**Total magnetic moment**: 0.000 μB/f.u.
**Crystal system**: orthorhombic
**Theoretical density**: 8.7 g cm⁻³
**Space-group type**: No. 65

---

Entry 5:
The following is a PBE-GGA calculation of AcEuGePb after structural relaxation, from Alexandria.

a = 5.6150 Å, b = 5.6150 Å, c = 5.6150 Å
α = 60.00°, β = 60.00°, γ = 60.00°
With the nearest neighbours (Å) after each atom.
Atoms (fractional coordinates):
Ac  0.0000  0.0000  0.0000  4 Ge 3.44, 4 Pb 3.44
Eu  0.5000  0.5000  0.5000  4 Ge 3.44, 4 Pb 3.44
Ge  0.7500  0.7500  0.7500  4 Ac 3.44, 4 Eu 3.44
Pb  0.2500  0.2500  0.2500  4 Ac 3.44, 4 Eu 3.44

Calculated values
**Calculated formation energy**: -466 meV/atom
**Total magnetic moment**: 7.198 μB/f.u.
**Crystal system**: cubic
**Theoretical density**: 8.7 g cm⁻³
**Space-group type**: No. 216

---

Entry 6:
The following is a PBE-GGA calculation of Tm3TiAl8 after structural relaxation, from Alexandria.

a = 9.4162 Å, b = 9.4162 Å, c = 9.4162 Å
α = 33.44°, β = 33.44°, γ = 33.44°
With the nearest neighbours (Å) after each atom.
Atoms (fractional coordinates):
Tm  0.0000  0.0000  0.0000  12 Al 3.18-3.23, 4 Tm 3.34-3.36
Tm  0.1261  0.1261  0.1261  12 Al 3.11-3.17, 3 Ti 3.31, 1 Tm 3.36
Tm  0.6229  0.6229  0.6229  12 Al 3.18-3.28, 1 Ti 3.28, 3 Tm 3.34
Ti  0.5000  0.5000  0.5000  12 Al 3.14-3.18, 4 Tm 3.28-3.31
Al  0.0609  0.0609  0.5598  6 Al 2.67-2.75
Al  0.0609  0.5598  0.0609  6 Al 2.67-2.75
Al  0.0658  0.5636  0.5636  6 Al 2.68-2.76
Al  0.3121  0.3121  0.3121  6 Al 2.75-2.76
Al  0.5598  0.0609  0.0609  6 Al 2.67-2.75
Al  0.5636  0.0658  0.5636  6 Al 2.68-2.76
Al  0.5636  0.5636  0.0658  6 Al 2.68-2.76
Al  0.8126  0.8126  0.8126  6 Al 2.67-2.68

Calculated values
**Calculated formation energy**: -440 meV/atom
**Total magnetic moment**: 0.001 μB/f.u.
**Crystal system**: trigonal
**Theoretical density**: 5.7 g cm⁻³
**Space-group type**: No. 160

---

Entry 7:
The following is a PBE-GGA calculation of NaEuZn4 after structural relaxation, from Alexandria.

a = 5.5575 Å, b = 5.5575 Å, c = 5.5575 Å
α = 60.00°, β = 60.00°, γ = 60.00°
With the nearest neighbours (Å) after each atom.
Atoms (fractional coordinates):
Na  0.0000  0.0000  0.0000  12 Zn 3.26, 4 Eu 3.40
Eu  0.7500  0.7500  0.7500  12 Zn 3.26, 4 Na 3.40
Zn  0.3744  0.3744  0.3744  6 Zn 2.77-2.79
Zn  0.3744  0.3744  0.8768  6 Zn 2.77-2.79
Zn  0.3744  0.8768  0.3744  6 Zn 2.77-2.79
Zn  0.8768  0.3744  0.3744  6 Zn 2.77-2.79

Calculated values
**Calculated formation energy**: -151 meV/atom
**Total magnetic moment**: 7.228 μB/f.u.
**Crystal system**: cubic
**Theoretical density**: 6.0 g cm⁻³
**Space-group type**: No. 216

---

Entry 8:
The following is a PBE-GGA calculation of LiTiP4O12 after structural relaxation, from Alexandria.

a = 8.6115 Å, b = 8.6115 Å, c = 9.8129 Å
α = 118.93°, β = 118.93°, γ = 50.56°
With the nearest neighbours (Å) after each atom.
Atoms (fractional coordinates):
Li  0.1934  0.8066  0.7500  4 O 1.93-2.10
Li  0.8066  0.1934  0.2500  4 O 1.93-2.10
Ti  0.3619  0.6381  0.2500  6 O 2.03-2.09
Ti  0.6381  0.3619  0.7500  6 O 2.03-2.09
P  0.0496  0.2139  0.6391  4 O 1.48-1.61
P  0.1917  0.5353  0.8356  4 O 1.50-1.61
P  0.2139  0.0496  0.1391  4 O 1.48-1.61
P  0.4647  0.8083  0.6644  4 O 1.50-1.61
P  0.5353  0.1917  0.3356  4 O 1.50-1.61
P  0.7861  0.9504  0.8609  4 O 1.48-1.61
P  0.8083  0.4647  0.1644  4 O 1.50-1.61
P  0.9504  0.7861  0.3609  4 O 1.48-1.61
O  0.0073  0.8368  0.5387  1 P 1.48
O  0.0190  0.2559  0.2103  2 P 1.61
O  0.1067  0.6989  0.2750  1 P 1.51
O  0.1352  0.3650  0.7089  2 P 1.58-1.61
O  0.1632  0.9927  0.9613  1 P 1.48
O  0.2471  0.5344  0.0051  1 P 1.50
O  0.2559  0.0190  0.7103  2 P 1.61
O  0.3011  0.8933  0.2250  1 P 1.51
O  0.3457  0.5127  0.7839  1 P 1.51
O  0.3650  0.1352  0.2089  2 P 1.58-1.61
O  0.4656  0.7529  0.4949  1 P 1.50
O  0.4873  0.6543  0.7161  1 P 1.51
O  0.5127  0.3457  0.2839  1 P 1.51
O  0.5344  0.2471  0.5051  1 P 1.50
O  0.6350  0.8648  0.7911  2 P 1.58-1.61
O  0.6543  0.4873  0.2161  1 P 1.51
O  0.6989  0.1067  0.7750  1 P 1.51
O  0.7441  0.9810  0.2897  2 P 1.61
O  0.7529  0.4656  0.9949  1 P 1.50
O  0.8368  0.0073  0.0387  1 P 1.48
O  0.8648  0.6350  0.2911  2 P 1.58-1.61
O  0.8933  0.3011  0.7250  1 P 1.51
O  0.9810  0.7441  0.7897  2 P 1.61
O  0.9927  0.1632  0.4613  1 P 1.48

Calculated values
**E above lowest polymorph**: 6 meV per atom
**Total magnetic moment**: 1.000 μB/f.u.
**Formation energy from raw total energies**: -2.25 eV per atom
**Crystal system**: monoclinic
**Theoretical density**: 2.6 g cm⁻³
**Space-group type**: No. 15